1.
Entry from the Alexandria database: a geometry-optimized RbIn6Ga2 structure (PBE-GGA). Values from VASP.

Geometry as Quantum ESPRESSO input:
```
&SYSTEM
  ibrav = 0, nat = 9, ntyp = 3
/
ATOMIC_SPECIES
Rb 85.47 Rb.upf
In 114.82 In.upf
Ga 69.72 Ga.upf
CELL_PARAMETERS angstrom
5.348 0.000 0.000
0.000 5.348 0.000
0.000 0.000 9.024
ATOMIC_POSITIONS crystal
Rb 0.000 0.000 0.000
In 0.000 0.000 0.500
In 0.000 0.500 0.302
In 0.000 0.500 0.698
In 0.500 0.000 0.302
In 0.500 0.000 0.698
In 0.500 0.500 0.500
Ga 0.500 0.500 0.153
Ga 0.500 0.500 0.847
```

Properties
Its energy relative to the elements is -0.030 eV per atom. The space-group type is P4/mmm. The calculation puts the total energy at -2.636 eV/atom.

2.
Entry from the Alexandria database: a geometry-optimized Rb2InGa structure (PBE-GGA). Values from VASP.

Geometry as Quantum ESPRESSO input:
```
&SYSTEM
  ibrav = 0, nat = 16, ntyp = 3
/
ATOMIC_SPECIES
Rb 85.47 Rb.upf
In 114.82 In.upf
Ga 69.72 Ga.upf
CELL_PARAMETERS angstrom
13.515 0.000 0.000
0.000 13.515 0.000
0.000 0.000 5.313
ATOMIC_POSITIONS crystal
Rb 0.070 0.250 0.125
Rb 0.250 0.570 0.375
Rb 0.250 0.930 0.875
Rb 0.430 0.250 0.625
Rb 0.570 0.750 0.625
Rb 0.750 0.070 0.875
Rb 0.750 0.430 0.375
Rb 0.930 0.750 0.125
In 0.000 0.000 0.500
In 0.000 0.500 0.750
In 0.500 0.000 0.250
In 0.500 0.500 0.000
Ga 0.000 0.000 0.000
Ga 0.000 0.500 0.250
Ga 0.500 0.000 0.750
Ga 0.500 0.500 0.500
```

Properties
Its energy relative to the elements is 0.077 eV per atom. The space-group type is I-42d. As for the energy above the most stable polymorph in this dataset: 0.38 eV per formula unit. The calculation puts the total energy at -1.848 eV/atom.